Record 1
Here is crystalline Cs2Sr2PaS6 at its relaxed geometry from Alexandria via LeMat-Bulk. Energies are from PBE.

Properties
Space-group type: C2/m
Raw formation energy: -1.600 eV per atom
Total magnetization: 0.3 μB per formula unit
Total DFT energy (no corrections): -56.930 eV per cell

a = 7.415 Å, b = 7.415 Å, c = 8.556 Å
α = 98.91°, β = 98.91°, γ = 119.10°
Sites, in units of the cell vectors:
Cs1 0.174 0.826 0.000
Cs2 0.826 0.174 0.000
Sr1 0.337 0.663 0.500
Sr2 0.663 0.337 0.500
Pa1 0.000 0.000 0.500
S1 0.059 0.362 0.679
S2 0.231 0.231 0.319
S3 0.362 0.059 0.679
S4 0.638 0.941 0.321
S5 0.769 0.769 0.681
S6 0.941 0.638 0.321

Record 2
Here is crystalline Cs2SrPaS4 at its relaxed geometry from Alexandria via LeMat-Bulk. Energies are from PBE.

Properties
Space-group type: P2/m
Raw formation energy: -1.638 eV per atom
Total magnetization: 1.0 μB per formula unit
Total DFT energy (no corrections): -42.495 eV per cell

a = 7.476 Å, b = 4.271 Å, c = 8.436 Å
α = 90.00°, β = 107.05°, γ = 90.00°
Sites, in units of the cell vectors:
Cs1 0.000 0.000 0.000
Cs2 0.500 0.500 0.000
Sr1 0.000 0.500 0.500
Pa1 0.500 0.000 0.500
S1 0.258 0.000 0.686
S2 0.293 0.500 0.317
S3 0.707 0.500 0.683
S4 0.742 0.000 0.314

Record 3
Here is crystalline Cs4TbPa3S12 at its relaxed geometry from Alexandria via LeMat-Bulk. Energies are from PBE.

Properties
Space-group type: Im-3m
Raw formation energy: -1.496 eV per atom
Total magnetization: 0.0 μB per formula unit
Total DFT energy (no corrections): -115.986 eV per cell

a = 9.245 Å, b = 9.245 Å, c = 9.245 Å
α = 109.47°, β = 109.47°, γ = 109.47°
Sites, in units of the cell vectors:
Cs1 0.000 0.000 0.500
Cs2 0.000 0.500 0.000
Cs3 0.500 0.000 0.000
Cs4 0.500 0.500 0.500
Tb1 0.000 0.000 0.000
Pa1 0.000 0.500 0.500
Pa2 0.500 0.000 0.500
Pa3 0.500 0.500 0.000
S1 0.000 0.258 0.258
S2 0.000 0.742 0.742
S3 0.250 0.500 0.750
S4 0.250 0.750 0.500
S5 0.258 0.000 0.258
S6 0.258 0.258 0.000
S7 0.500 0.250 0.750
S8 0.500 0.750 0.250
S9 0.742 0.000 0.742
S10 0.742 0.742 0.000
S11 0.750 0.250 0.500
S12 0.750 0.500 0.250

Record 4
Here is crystalline Cs2TbPaS4 at its relaxed geometry from Alexandria via LeMat-Bulk. Energies are from PBE.

Properties
Space-group type: P2/m
Raw formation energy: -1.616 eV per atom
Total magnetization: 1.8 μB per formula unit
Total DFT energy (no corrections): -45.271 eV per cell

a = 7.116 Å, b = 4.087 Å, c = 8.453 Å
α = 90.00°, β = 106.10°, γ = 90.00°
Sites, in units of the cell vectors:
Cs1 0.000 0.000 0.000
Cs2 0.500 0.500 0.000
Tb1 0.000 0.500 0.500
Pa1 0.500 0.000 0.500
S1 0.231 0.000 0.683
S2 0.273 0.500 0.316
S3 0.727 0.500 0.684
S4 0.769 0.000 0.317

Record 5
Here is crystalline CsTbPaS4 at its relaxed geometry from Alexandria via LeMat-Bulk. Energies are from PBE.

Properties
Space-group type: Imma
Raw formation energy: -1.635 eV per atom
Total magnetization: 1.0 μB per formula unit
Total DFT energy (no corrections): -85.876 eV per cell

a = 8.612 Å, b = 8.612 Å, c = 8.612 Å
α = 119.94°, β = 119.45°, γ = 90.54°
Sites, in units of the cell vectors:
Cs1 0.375 0.125 0.250
Cs2 0.625 0.875 0.750
Tb1 0.000 0.500 0.500
Tb2 0.500 0.500 0.000
Pa1 0.000 0.000 0.500
Pa2 0.000 0.500 0.000
S1 0.177 0.729 0.448
S2 0.219 0.271 0.948
S3 0.223 0.270 0.547
S4 0.223 0.677 0.953
S5 0.777 0.323 0.047
S6 0.777 0.730 0.453
S7 0.781 0.729 0.052
S8 0.823 0.271 0.552

Record 6
Here is crystalline CsPaTe2S8 at its relaxed geometry from Alexandria via LeMat-Bulk. Energies are from PBE.

Properties
Space-group type: P-3
Raw formation energy: -0.394 eV per atom
Total magnetization: 0.0 μB per formula unit
Total DFT energy (no corrections): -54.377 eV per cell

a = 6.710 Å, b = 6.710 Å, c = 9.909 Å
α = 90.00°, β = 90.00°, γ = 120.00°
Sites, in units of the cell vectors:
Cs1 0.000 0.000 0.000
Pa1 0.000 0.000 0.500
Te1 0.333 0.667 0.712
Te2 0.667 0.333 0.288
S1 0.038 0.702 0.341
S2 0.298 0.336 0.341
S3 0.333 0.667 0.940
S4 0.336 0.038 0.659
S5 0.664 0.962 0.341
S6 0.667 0.333 0.060
S7 0.702 0.664 0.659
S8 0.962 0.298 0.659

Record 7
Here is crystalline CsPaTeS at its relaxed geometry from Alexandria via LeMat-Bulk. Energies are from PBE.

Properties
Space-group type: R3m
Raw formation energy: -1.139 eV per atom
Total magnetization: 1.9 μB per formula unit
Total DFT energy (no corrections): -22.174 eV per cell

a = 9.146 Å, b = 9.146 Å, c = 9.146 Å
α = 26.72°, β = 26.72°, γ = 26.72°
Sites, in units of the cell vectors:
Cs1 0.000 0.000 0.000
Pa1 0.815 0.815 0.815
Te1 0.222 0.222 0.222
S1 0.428 0.428 0.428

Record 8
Here is crystalline Cs2PaTeS6 at its relaxed geometry from Alexandria via LeMat-Bulk. Energies are from PBE.

Properties
Space-group type: R-3m
Raw formation energy: -0.914 eV per atom
Total magnetization: 0.0 μB per formula unit
Total DFT energy (no corrections): -96.495 eV per cell

a = 13.220 Å, b = 13.220 Å, c = 13.220 Å
α = 33.30°, β = 33.30°, γ = 33.30°
Sites, in units of the cell vectors:
Cs1 0.126 0.126 0.126
Cs2 0.293 0.293 0.293
Cs3 0.707 0.707 0.707
Cs4 0.874 0.874 0.874
Pa1 0.410 0.410 0.410
Pa2 0.590 0.590 0.590
Te1 0.000 0.000 0.000
Te2 0.500 0.500 0.500
S1 0.154 0.613 0.613
S2 0.207 0.207 0.713
S3 0.207 0.713 0.207
S4 0.287 0.793 0.793
S5 0.387 0.387 0.846
S6 0.387 0.846 0.387
S7 0.613 0.154 0.613
S8 0.613 0.613 0.154
S9 0.713 0.207 0.207
S10 0.793 0.287 0.793
S11 0.793 0.793 0.287
S12 0.846 0.387 0.387

Q: Number 1 is which compound?
A: Cs2Sr2PaS6